1.
The following is a GGA-PBE calculation of an optimized crystal structure of Dy3Ga8Ru3, from Alexandria via LeMat-Bulk.

a = 4.204 Å, b = 8.218 Å, c = 8.218 Å
α = 72.58°, β = 75.18°, γ = 75.18°
Sites, in units of the cell vectors:
Dy 0.500 0.500 0.500
Dy 0.835 0.165 0.165
Dy 0.165 0.835 0.835
Ga 0.619 0.096 0.666
Ga 0.381 0.904 0.334
Ga 0.619 0.666 0.096
Ga 0.381 0.334 0.904
Ga 0.829 0.805 0.537
Ga 0.171 0.195 0.463
Ga 0.829 0.537 0.805
Ga 0.171 0.463 0.195
Ru 0.500 0.000 0.000
Ru 0.000 0.771 0.229
Ru 0.000 0.229 0.771

SG = Immm
Size of the total moment = 0.00 μB per formula unit
Energy relative to the elements = -7.61 eV per formula unit



2.
The following is a GGA-PBE calculation of an optimized crystal structure of DyGa2Ru2, from Alexandria via LeMat-Bulk.

a = 4.000 Å, b = 4.000 Å, c = 11.550 Å
α = 99.97°, β = 99.97°, γ = 90.00°
Site moments in Bohr magnetons follow the coordinates.
Sites, in units of the cell vectors:
Dy 0.629 0.629 0.258  -0.01
Dy 0.371 0.371 0.742  -0.01
Ga 0.000 0.500 0.000  0.00
Ga 0.180 0.180 0.360  0.00
Ga 0.500 0.000 0.000  0.00
Ga 0.820 0.820 0.640  0.00
Ru 0.750 0.250 0.500  0.17
Ru 0.932 0.932 0.865  -0.02
Ru 0.068 0.068 0.135  -0.02
Ru 0.250 0.750 0.500  0.17

SG = I4/mmm
Size of the total moment = 0.14 μB per formula unit
Energy relative to the elements = -2.13 eV per formula unit



3.
The following is a GGA-PBE calculation of an optimized crystal structure of Dy2Ga5Ru3, from Alexandria via LeMat-Bulk.

a = 5.710 Å, b = 8.612 Å, c = 8.612 Å
α = 98.42°, β = 70.61°, γ = 70.61°
Site moments in Bohr magnetons follow the coordinates.
Sites, in units of the cell vectors:
Dy 0.272 0.874 0.582  -0.01
Dy 0.228 0.418 0.126  -0.01
Dy 0.728 0.126 0.418  -0.01
Dy 0.772 0.582 0.874  -0.01
Ga 0.311 0.108 0.270  -0.01
Ga 0.189 0.730 0.892  -0.01
Ga 0.689 0.892 0.730  -0.01
Ga 0.811 0.270 0.108  -0.01
Ga 0.250 0.199 0.801  0.00
Ga 0.750 0.801 0.199  0.00
Ga 0.250 0.500 0.500  0.00
Ga 0.750 0.500 0.500  0.00
Ga 0.250 0.801 0.199  0.00
Ga 0.750 0.199 0.801  0.00
Ru 0.075 0.272 0.578  -0.01
Ru 0.425 0.422 0.728  -0.01
Ru 0.925 0.728 0.422  -0.01
Ru 0.575 0.578 0.272  -0.01
Ru 0.250 0.000 0.000  0.36
Ru 0.750 0.000 0.000  0.36

SG = Ibam
Size of the total moment = 0.33 μB per formula unit
Energy relative to the elements = -5.38 eV per formula unit



> What is the size of the total moment in the second record?

0.14 μB per formula unit



> energy relative to the elements of number 1 (Dy3Ga8Ru3)?

-7.61 eV per formula unit



> Among the records above, which one has the lowest energy relative to the elements?

Dy3Ga8Ru3



> The highest energy relative to the elements belongs to which entry?

DyGa2Ru2